Material: CuIr5S8
Method: DFT, PBE
State: relaxed

E in eV/atom: -6.10
Space group: F-43m
Energy relative to the elements, uncorrected in eV/atom: -0.28
V in Å³ per cell: 243.4
Fermi-level density of states in states/eV per cell: 9.387

Geometry as extended XYZ:
```
14
Lattice="0.0000 4.9559 4.9559 4.9559 0.0000 4.9559 4.9559 4.9559 0.0000" Properties=species:S:1:pos:R:3 pbc="T T T"
Cu 0.0000 0.0000 0.0000
Ir 6.2116 3.7002 3.7002
Ir 2.4779 2.4779 2.4779
Ir 3.7002 6.2116 3.7002
Ir 3.7002 3.7002 6.2116
Ir 6.2116 6.2116 6.2116
S 3.8123 3.8123 3.8123
S 6.0994 6.0994 3.8123
S 6.0994 3.8123 6.0994
S 8.5771 6.2904 6.2904
S 3.8123 6.0994 6.0994
S 6.2904 8.5771 6.2904
S 6.2904 6.2904 8.5771
S 8.5771 8.5771 8.5771
```


Material: NdSc2Fe9
Method: DFT, PBE
State: relaxed

Calculated formation energy in meV/atom: -118
E in eV/atom: -7.92
Space group: R-3m
V in Å³ per cell: 172.4
Fermi-level density of states in states/eV per cell: 10.912

Geometry as extended XYZ:
```
12
Lattice="2.5041 1.4457 7.9360 -2.5041 1.4457 7.9360 0.0000 -2.8915 7.9360" Properties=species:S:1:pos:R:3 pbc="T T T"
Nd 0.0000 0.0000 0.0000
Sc 0.0000 0.0000 3.4193
Sc 0.0000 0.0000 20.3888
Fe -1.2591 -0.7270 9.9676
Fe 0.0000 0.0000 7.9213
Fe 0.0000 -1.4539 13.8405
Fe -1.2591 0.7270 13.8405
Fe 0.0000 0.0000 11.9041
Fe 1.2591 -0.7270 9.9676
Fe 0.0000 1.4539 9.9676
Fe 0.0000 0.0000 15.8868
Fe 1.2591 0.7270 13.8405
```


Material: Rb2AuSBr
Method: DFT, PBE
State: relaxed

E in eV/atom: -3.18
Space group: P4/mmm
Energy relative to the elements, uncorrected in eV/atom: -0.97
V in Å³ per cell: 193.7
Fermi-level density of states in states/eV per cell: 0.642

Geometry as extended XYZ:
```
5
Lattice="6.4953 0.0000 0.0000 0.0000 6.4953 0.0000 0.0000 0.0000 4.5902" Properties=species:S:1:pos:R:3 pbc="T T T"
Rb 0.0000 3.2476 0.0000
Rb 3.2476 0.0000 0.0000
Au 0.0000 0.0000 2.2951
S 0.0000 0.0000 0.0000
Br 3.2476 3.2476 2.2951
```


Material: PaZnCu2O6
Method: DFT, PBE
State: relaxed

E in eV/atom: -6.55
Space group: C2/c
Energy relative to the elements, uncorrected in eV/atom: -1.68
V in Å³ per cell: 234.2
Fermi-level density of states in states/eV per cell: 5.267

Geometry as extended XYZ:
```
20
Lattice="5.1639 -4.2580 0.0000 5.1639 4.2580 0.0000 -0.3371 0.0000 5.3247" Properties=species:S:1:pos:R:3 pbc="T T T"
Pa 4.9111 2.9455 3.9936
Pa 5.0796 -2.9455 1.3312
Zn 5.0796 0.6512 1.3312
Zn 4.9111 -0.6512 3.9936
Cu 2.3046 1.2586 4.1311
Cu 2.4731 -1.2586 1.4687
Cu 7.5175 1.2586 3.8560
Cu 7.6861 -1.2586 1.1937
O 1.0035 0.4798 3.0242
O 3.7926 1.9694 0.1650
O 1.1720 -0.4798 0.3618
O 3.8800 0.9755 3.0887
O 6.3666 1.9694 2.4974
O 5.9421 0.9755 4.8984
O 4.0485 -0.9755 0.4263
O 3.6241 -1.9694 2.8274
O 6.1107 -0.9755 2.2361
O 8.8186 0.4798 4.9630
O 6.1981 -1.9694 5.1597
O 8.9872 -0.4798 2.3006
```


Material: Ac2Pr2Pb
Method: DFT, PBE
State: relaxed

Calculated formation energy in meV/atom: 150
E in eV/atom: -4.15
Space group: I4/mmm
V in Å³ per cell: 205.0
Fermi-level density of states in states/eV per cell: 5.992

Geometry as extended XYZ:
```
5
Lattice="-2.2764 2.2764 9.8886 2.2764 -2.2764 9.8886 2.2764 2.2764 -9.8886" Properties=species:S:1:pos:R:3 pbc="T T T"
Ac 0.0000 0.0000 1.7130
Ac 0.0000 0.0000 18.0642
Pr 2.2764 0.0000 4.9443
Pr 0.0000 2.2764 4.9443
Pb 0.0000 0.0000 9.8886
```


Material: LiPu2Tc
Method: DFT, PBE
State: relaxed

Calculated formation energy in meV/atom: 543
E in eV/atom: -9.69
Space group: P4/mmm
V in Å³ per cell: 66.5
Fermi-level density of states in states/eV per cell: 9.733

Geometry as extended XYZ:
```
4
Lattice="2.4917 0.0000 0.0000 0.0000 2.4917 0.0000 0.0000 0.0000 10.7183" Properties=species:S:1:pos:R:3 pbc="T T T"
Li 0.0000 0.0000 0.0000
Pu 1.2458 1.2458 2.7419
Pu 1.2458 1.2458 7.9764
Tc 0.0000 0.0000 5.3592
```


Material: YCo3Ge3
Method: DFT, PBE
State: relaxed

Calculated formation energy in meV/atom: -329
Relative energy among the computed polymorphs in meV/atom: 0
E in eV/atom: -6.28
Space group: P6_3/m
V in Å³ per cell: 232.4
Fermi-level density of states in states/eV per cell: 7.979

Geometry as extended XYZ:
```
14
Lattice="8.1542 0.0000 0.0000 -4.0771 7.0618 0.0000 0.0000 0.0000 4.0354" Properties=species:S:1:pos:R:3 pbc="T T T"
Y 0.0000 4.7078 1.0088
Y 4.0771 2.3539 3.0265
Co -2.9867 6.0508 1.0088
Co 0.3303 1.4498 1.0088
Co 1.4207 0.4389 3.0265
Co 2.6564 6.6229 1.0088
Co 3.7468 5.6120 3.0265
Co 7.0638 1.0109 3.0265
Ge -2.1143 5.1107 3.0265
Ge 0.7082 2.6754 3.0265
Ge 2.6711 0.7244 1.0088
Ge 1.4060 6.3374 3.0265
Ge 3.3689 4.3864 1.0088
Ge 6.1914 1.9510 1.0088
```


Material: K2MgTc
Method: DFT, PBE
State: relaxed

Calculated formation energy in meV/atom: 1137
E in eV/atom: -2.40
Space group: Cmmm
V in Å³ per cell: 106.2
Fermi-level density of states in states/eV per cell: 4.157

Geometry as extended XYZ:
```
4
Lattice="3.0662 -5.9421 0.0000 3.0662 5.9421 0.0000 0.0000 0.0000 2.9144" Properties=species:S:1:pos:R:3 pbc="T T T"
K 1.5331 2.9710 0.0000
K 1.5331 -2.9710 0.0000
Mg 0.0000 0.0000 1.4572
Tc 3.0662 0.0000 1.4572
```


Material: V4Cu3S8
Method: DFT, PBE
State: relaxed

E in eV/atom: -6.17
Space group: R3m
Energy relative to the elements, uncorrected in eV/atom: -0.72
V in Å³ per cell: 239.2
Fermi-level density of states in states/eV per cell: 7.130

Geometry as extended XYZ:
```
15
Lattice="3.3279 1.9214 6.2359 -3.3279 1.9214 6.2359 0.0000 -3.8427 6.2359" Properties=species:S:1:pos:R:3 pbc="T T T"
V 0.0000 0.0000 0.0000
V -1.3812 -0.7974 6.2055
V 1.3812 -0.7974 6.2055
V 0.0000 1.5949 6.2055
Cu -1.8688 -1.0790 8.9299
Cu 1.8688 -1.0790 8.9298
Cu 0.0000 2.1579 8.9298
S 0.0000 0.0000 4.5764
S 0.0000 -1.9421 7.7467
S -1.6819 0.9710 7.7467
S -1.6577 -0.9571 11.1293
S 0.0000 0.0000 13.5680
S 1.6819 0.9710 7.7467
S 1.6577 -0.9571 11.1293
S 0.0000 1.9142 11.1293
```


Material: PmHo4Pd5
Method: DFT, PBE
State: relaxed

Calculated formation energy in meV/atom: -872
E in eV/atom: -5.77
Space group: P4/mmm
V in Å³ per cell: 216.7
Fermi-level density of states in states/eV per cell: 7.754

Geometry as extended XYZ:
```
10
Lattice="3.4751 0.0000 0.0000 0.0000 3.4751 0.0000 0.0000 0.0000 17.9476" Properties=species:S:1:pos:R:3 pbc="T T T"
Pm 0.0000 0.0000 0.0000
Ho 0.0000 0.0000 3.6638
Ho 0.0000 0.0000 7.2067
Ho 0.0000 0.0000 10.7409
Ho 0.0000 0.0000 14.2838
Pd 1.7376 1.7376 1.9678
Pd 1.7376 1.7376 5.4370
Pd 1.7376 1.7376 8.9738
Pd 1.7376 1.7376 12.5106
Pd 1.7376 1.7376 15.9797
```


Material: Cd2HgW4
Method: DFT, PBE
State: relaxed

Calculated formation energy in meV/atom: 2786
E in eV/atom: -4.92
Space group: I4/mmm
V in Å³ per cell: 170.7
Fermi-level density of states in states/eV per cell: 11.898

Geometry as extended XYZ:
```
7
Lattice="-2.4710 2.4710 6.9905 2.4710 -2.4710 6.9905 2.4710 2.4710 -6.9905" Properties=species:S:1:pos:R:3 pbc="T T T"
Cd 0.0000 0.0000 1.6642
Cd 0.0000 0.0000 12.3168
Hg 0.0000 0.0000 6.9905
W 2.4710 0.0000 0.0000
W 0.0000 0.0000 4.4173
W 0.0000 2.4710 0.0000
W 0.0000 0.0000 9.5638
```


Material: Be2AgCl
Method: DFT, PBE
State: relaxed

Relative energy among the computed polymorphs in meV/atom: 403
E in eV/atom: -2.60
Space group: P2/m
Energy relative to the elements, uncorrected in eV/atom: 0.44
V in Å³ per cell: 58.2
Fermi-level density of states in states/eV per cell: 0.825

Geometry as extended XYZ:
```
4
Lattice="4.0368 0.0000 0.0000 0.0000 3.0557 0.0000 -1.6496 0.0000 4.7207" Properties=species:S:1:pos:R:3 pbc="T T T"
Be 0.0000 0.0000 0.0000
Be 1.1936 1.5279 2.3604
Ag -0.8248 0.0000 2.3604
Cl 2.0184 1.5279 0.0000
```


Material: Ho2LuSe
Method: DFT, PBE
State: relaxed

Relative energy among the computed polymorphs in meV/atom: 0
E in eV/atom: -4.96
Space group: P4/mmm
Energy relative to the elements, uncorrected in eV/atom: -0.67
V in Å³ per cell: 107.1
Fermi-level density of states in states/eV per cell: 4.358

Geometry as extended XYZ:
```
4
Lattice="3.5610 0.0000 0.0000 0.0000 3.5610 0.0000 0.0000 0.0000 8.4493" Properties=species:S:1:pos:R:3 pbc="T T T"
Ho 0.0000 0.0000 1.7784
Ho 0.0000 0.0000 6.6709
Lu 1.7805 1.7805 4.2247
Se 1.7805 1.7805 0.0000
```


Material: K4LaPb
Method: DFT, PBE
State: relaxed

Calculated formation energy in meV/atom: 417
E in eV/atom: -1.75
Space group: F-43m
V in Å³ per cell: 280.4
Fermi-level density of states in states/eV per cell: 8.084

Geometry as extended XYZ:
```
6
Lattice="0.0000 5.1952 5.1952 5.1952 0.0000 5.1952 5.1952 5.1952 0.0000" Properties=species:S:1:pos:R:3 pbc="T T T"
K 3.9149 3.9149 3.9149
K 6.4755 6.4755 3.9149
K 6.4755 3.9149 6.4755
K 3.9149 6.4755 6.4755
La 0.0000 0.0000 0.0000
Pb 7.7928 7.7928 7.7928
```


Material: Zr2PbCl
Method: DFT, PBE
State: relaxed

Relative energy among the computed polymorphs in meV/atom: 0
E in eV/atom: -6.17
Space group: Cmm2
Energy relative to the elements, uncorrected in eV/atom: -0.51
V in Å³ per cell: 106.7
Fermi-level density of states in states/eV per cell: 1.653

Geometry as extended XYZ:
```
4
Lattice="2.1994 -2.2835 0.0000 2.1994 2.2835 0.0000 0.0000 0.0000 10.6246" Properties=species:S:1:pos:R:3 pbc="T T T"
Zr 0.0000 0.0000 0.0000
Zr 2.1994 0.0000 2.3374
Pb 2.1994 0.0000 8.0190
Cl 0.0000 0.0000 3.9668
```


Material: Ca2PmSm5
Method: DFT, PBE
State: relaxed

Calculated formation energy in meV/atom: 54
E in eV/atom: -3.99
Space group: I4/mmm
V in Å³ per cell: 284.4
Fermi-level density of states in states/eV per cell: 11.719

Geometry as extended XYZ:
```
8
Lattice="-2.5977 2.5977 10.5349 2.5977 -2.5977 10.5349 2.5977 2.5977 -10.5349" Properties=species:S:1:pos:R:3 pbc="T T T"
Ca 0.0000 0.0000 5.2673
Ca 0.0000 0.0000 15.8026
Pm 0.0000 0.0000 0.0000
Sm 2.5977 0.0000 2.4726
Sm 2.5977 0.0000 8.0624
Sm 0.0000 0.0000 10.5349
Sm 0.0000 2.5977 2.4726
Sm 0.0000 2.5977 8.0624
```


Material: K2PtAu
Method: DFT, PBE
State: relaxed

Calculated formation energy in meV/atom: 69
Relative energy among the computed polymorphs in meV/atom: 224
E in eV/atom: -2.81
Space group: P4/mmm
V in Å³ per cell: 99.4
Fermi-level density of states in states/eV per cell: 0.997

Geometry as extended XYZ:
```
4
Lattice="3.2023 0.0000 0.0000 0.0000 3.2023 0.0000 0.0000 0.0000 9.6889" Properties=species:S:1:pos:R:3 pbc="T T T"
K 0.0000 0.0000 2.3281
K 0.0000 0.0000 7.3608
Pt 1.6012 1.6012 0.0000
Au 1.6012 1.6012 4.8445
```


Material: ZnBr3O
Method: DFT, PBE
State: relaxed

Relative energy among the computed polymorphs in meV/atom: 907
E in eV/atom: -1.79
Space group: Pm-3m
Energy relative to the elements, uncorrected in eV/atom: 0.46
V in Å³ per cell: 108.9
Fermi-level density of states in states/eV per cell: 2.474

Geometry as extended XYZ:
```
5
Lattice="4.7752 0.0000 0.0000 0.0000 4.7752 0.0000 0.0000 0.0000 4.7752" Properties=species:S:1:pos:R:3 pbc="T T T"
Zn 0.0000 0.0000 0.0000
Br 0.0000 2.3876 2.3876
Br 2.3876 0.0000 2.3876
Br 2.3876 2.3876 0.0000
O 2.3876 2.3876 2.3876
```


Material: Tl4InBi3Se8
Method: DFT, PBE
State: relaxed

E in eV/atom: -3.70
Space group: R-3m
Energy relative to the elements, uncorrected in eV/atom: -0.46
V in Å³ per cell: 481.0
Fermi-level density of states in states/eV per cell: 0.178

Geometry as extended XYZ:
```
16
Lattice="4.2576 2.4581 7.6596 -4.2576 2.4581 7.6596 0.0000 -4.9162 7.6596" Properties=species:S:1:pos:R:3 pbc="T T T"
Tl 0.0000 0.0000 0.0000
Tl -2.1288 -1.2291 7.6596
Tl -2.1288 1.2291 15.3192
Tl 0.0000 2.4581 7.6596
In 0.0000 0.0000 11.4894
Bi -4.2576 0.0000 11.4894
Bi -2.1288 1.2291 3.8298
Bi 2.1288 1.2291 3.8298
Se 0.0000 0.0000 5.5005
Se -2.0405 -1.1781 13.0984
Se 0.0000 -2.3562 9.8804
Se -2.0405 1.1781 9.8804
Se 2.0405 -1.1781 13.0984
Se 0.0000 2.3562 13.0984
Se 2.0406 1.1781 9.8804
Se 0.0000 0.0000 17.4783
```


Material: DyHoZnCo
Method: DFT, PBE
State: relaxed

Calculated formation energy in meV/atom: -238
Relative energy among the computed polymorphs in meV/atom: 5
E in eV/atom: -4.63
Space group: F-43m
V in Å³ per cell: 81.0
Fermi-level density of states in states/eV per cell: 2.833

Geometry as extended XYZ:
```
4
Lattice="0.0000 3.4346 3.4346 3.4346 0.0000 3.4346 3.4346 3.4346 0.0000" Properties=species:S:1:pos:R:3 pbc="T T T"
Dy 0.0000 0.0000 0.0000
Ho 3.4346 3.4346 3.4346
Zn 5.1519 5.1519 5.1519
Co 1.7173 1.7173 1.7173
```